Entry from Alexandria via LeMat-Bulk: a geometry-optimized Dy12Ag5Pd3 structure (PBE-GGA).

Values from the calculation:
Symmetry   Ia-3d
D(E_F)   18.8 states/eV/f.u.

Lattice parameters (Å, degrees): 14.695 14.695 14.695 109.47 109.47 109.47
Element x y z (fractional)
Pd (0.875, 0.125, 0.250)
Pd (0.250, 0.625, 0.875)
Pd (0.750, 0.375, 0.125)
Pd (0.125, 0.250, 0.875)
Pd (0.625, 0.375, 0.750)
Pd (0.875, 0.750, 0.125)
Pd (0.375, 0.625, 0.250)
Pd (0.125, 0.875, 0.750)
Pd (0.750, 0.875, 0.625)
Pd (0.375, 0.750, 0.625)
Pd (0.250, 0.125, 0.375)
Pd (0.625, 0.250, 0.375)
Dy (0.595, 0.727, 0.668)
Dy (0.095, 0.168, 0.227)
Dy (0.905, 0.073, 0.632)
Dy (0.560, 0.227, 0.132)
Dy (0.440, 0.668, 0.073)
Dy (0.832, 0.905, 0.273)
Dy (0.905, 0.832, 0.773)
Dy (0.668, 0.227, 0.595)
Dy (0.427, 0.060, 0.332)
Dy (0.773, 0.332, 0.905)
Dy (0.368, 0.940, 0.773)
Dy (0.940, 0.368, 0.273)
Dy (0.332, 0.560, 0.427)
Dy (0.927, 0.095, 0.868)
Dy (0.727, 0.595, 0.168)
Dy (0.060, 0.427, 0.832)
Dy (0.727, 0.132, 0.060)
Dy (0.927, 0.832, 0.560)
Dy (0.132, 0.405, 0.073)
Dy (0.668, 0.440, 0.573)
Dy (0.595, 0.868, 0.427)
Dy (0.273, 0.405, 0.832)
Dy (0.573, 0.632, 0.405)
Dy (0.560, 0.332, 0.927)
Dy (0.868, 0.273, 0.440)
Dy (0.073, 0.168, 0.440)
Dy (0.095, 0.927, 0.368)
Dy (0.632, 0.060, 0.227)
Dy (0.168, 0.073, 0.940)
Dy (0.073, 0.905, 0.132)
Dy (0.405, 0.132, 0.573)
Dy (0.440, 0.773, 0.868)
Dy (0.168, 0.095, 0.727)
Dy (0.273, 0.868, 0.940)
Dy (0.832, 0.927, 0.060)
Dy (0.868, 0.595, 0.927)
Dy (0.773, 0.440, 0.368)
Dy (0.940, 0.573, 0.168)
Dy (0.227, 0.560, 0.632)
Dy (0.573, 0.940, 0.668)
Dy (0.132, 0.727, 0.560)
Dy (0.227, 0.668, 0.095)
Dy (0.368, 0.427, 0.095)
Dy (0.632, 0.573, 0.905)
Dy (0.332, 0.773, 0.405)
Dy (0.060, 0.632, 0.727)
Dy (0.405, 0.273, 0.332)
Dy (0.427, 0.368, 0.595)
Ag (0.625, 0.875, 0.250)
Ag (0.375, 0.250, 0.125)
Ag (0.250, 0.375, 0.625)
Ag (0.250, 0.875, 0.125)
Ag (0.875, 0.625, 0.750)
Ag (0.625, 0.750, 0.875)
Ag (0.500, 0.500, 0.000)
Ag (0.375, 0.125, 0.750)
Ag (0.500, 0.000, 0.500)
Ag (0.750, 0.125, 0.875)
Ag (0.000, 0.000, 0.000)
Ag (0.000, 0.500, 0.500)
Ag (0.125, 0.750, 0.375)
Ag (0.000, 0.000, 0.500)
Ag (0.500, 0.000, 0.000)
Ag (0.000, 0.500, 0.000)
Ag (0.500, 0.500, 0.500)
Ag (0.875, 0.250, 0.625)
Ag (0.125, 0.375, 0.250)
Ag (0.750, 0.625, 0.375)



Entry from Alexandria via LeMat-Bulk: a geometry-optimized Dy4AgPd7 structure (PBE-GGA).

Values from the calculation:
Symmetry   C2/m
D(E_F)   5.1 states/eV/f.u.

Lattice parameters (Å, degrees): 5.218 9.420 5.943 81.53 63.96 73.92
Element x y z (fractional)
Dy (0.791, 0.633, 0.784)
Dy (0.402, 0.791, 0.404)
Dy (0.598, 0.209, 0.596)
Dy (0.209, 0.367, 0.216)
Pd (0.209, 0.096, 0.486)
Pd (0.923, 0.311, 0.842)
Pd (0.077, 0.689, 0.158)
Pd (0.500, 0.000, 0.000)
Pd (0.791, 0.904, 0.514)
Pd (0.369, 0.517, 0.745)
Pd (0.631, 0.483, 0.255)
Ag (0.000, 0.000, 0.000)



Respective energy of formation values: 0.041 -0.601 eV/atom.